Entry 1:
DFT (PBE-GGA) results for Tb3Y6Tm2Pu after structural relaxation.

```
data_Tb3Y6Tm2Pu
_symmetry_space_group_name_H-M 'C 1 2/m 1'
_symmetry_Int_Tables_number 12
_symmetry_space_group_name_Hall '-C 2y'
_cell_length_a 6.135
_cell_length_b 10.626
_cell_length_c 11.712
_cell_angle_alpha 90.00
_cell_angle_beta 100.07
_cell_angle_gamma 90.00
loop_
_atom_site_label
_atom_site_fract_x
_atom_site_fract_y
_atom_site_fract_z
_atom_site_occupancy
Tb1 0.000 0.000 0.000 1
Tb2 0.000 0.333 0.000 1
Y1 0.247 0.335 0.747 1
Y2 0.248 0.500 0.253 1
Tm1 0.000 0.167 0.500 1
Pu1 0.000 0.500 0.500 1
```

Output
Density of states at the Fermi level = 2.055 states/eV/atom
Energy of formation = 0.05 eV per atom
Total DFT energy (no corrections) = -150.7 eV/cell



Entry 2:
DFT (PBE-GGA) results for Tb6Y2Tm3Pu after structural relaxation.

```
data_Tb6Y2Tm3Pu
_symmetry_space_group_name_H-M 'C 1 2/m 1'
_symmetry_Int_Tables_number 12
_symmetry_space_group_name_Hall '-C 2y'
_cell_length_a 6.122
_cell_length_b 10.606
_cell_length_c 11.655
_cell_angle_alpha 90.00
_cell_angle_beta 100.09
_cell_angle_gamma 90.00
loop_
_atom_site_label
_atom_site_fract_x
_atom_site_fract_y
_atom_site_fract_z
_atom_site_occupancy
Tb1 0.246 0.000 0.249 1
Tb2 0.248 0.165 0.751 1
Y1 0.000 0.333 0.500 1
Tm1 0.000 0.167 0.000 1
Tm2 0.000 0.500 0.000 1
Pu1 0.000 0.000 0.500 1
```

Output
Density of states at the Fermi level = 1.971 states/eV/atom
Energy of formation = 0.05 eV per atom
Total DFT energy (no corrections) = -135.8 eV/cell



Entry 3:
DFT (PBE-GGA) results for TbPuU after structural relaxation.

```
data_TbPuU
_symmetry_space_group_name_H-M 'I 4 m m'
_symmetry_Int_Tables_number 107
_symmetry_space_group_name_Hall 'I 4 -2'
_cell_length_a 3.487
_cell_length_b 3.487
_cell_length_c 12.157
_cell_angle_alpha 90.00
_cell_angle_beta 90.00
_cell_angle_gamma 90.00
loop_
_atom_site_label
_atom_site_fract_x
_atom_site_fract_y
_atom_site_fract_z
_atom_site_occupancy
Tb1 0.000 0.000 0.000 1
Pu1 0.000 0.000 0.292 1
U1 0.000 0.000 0.716 1
```

Output
Density of states at the Fermi level = 2.235 states/eV/atom
Energy of formation = 0.24 eV per atom
Total DFT energy (no corrections) = -59.0 eV/cell



Entry 4:
DFT (PBE-GGA) results for Tb3Y4Pu after structural relaxation.

```
data_Tb3Y4Pu
_symmetry_space_group_name_H-M 'I m m m'
_symmetry_Int_Tables_number 71
_symmetry_space_group_name_Hall '-I 2 2'
_cell_length_a 3.433
_cell_length_b 11.579
_cell_length_c 12.834
_cell_angle_alpha 90.00
_cell_angle_beta 90.00
_cell_angle_gamma 90.00
loop_
_atom_site_label
_atom_site_fract_x
_atom_site_fract_y
_atom_site_fract_z
_atom_site_occupancy
Tb1 0.000 0.000 0.000 1
Tb2 0.000 0.500 0.237 1
Y1 0.000 0.248 0.368 1
Pu1 0.000 0.000 0.500 1
```

Output
Density of states at the Fermi level = 2.232 states/eV/atom
Energy of formation = 0.15 eV per atom
Total DFT energy (no corrections) = -105.7 eV/cell



Entry 5:
DFT (PBE-GGA) results for Tb2YPu after structural relaxation.

```
data_Tb2YPu
_symmetry_space_group_name_H-M 'R -3 m'
_symmetry_Int_Tables_number 166
_symmetry_space_group_name_Hall '-R 3 2"'
_cell_length_a 3.4595
_cell_length_b 3.4595
_cell_length_c 36.7088
_cell_angle_alpha 90.00
_cell_angle_beta 90.00
_cell_angle_gamma 120.00
loop_
_atom_site_label
_atom_site_fract_x
_atom_site_fract_y
_atom_site_fract_z
_atom_site_occupancy
Tb1 0.0000 0.0000 0.0884 1
Y1 0.0000 0.0000 0.5000 1
Pu1 0.0000 0.0000 0.0000 1
```

Output
Density of states at the Fermi level = 3.036 states/eV/atom
Energy of formation = 0.27 eV per atom
ΔE to the lowest computed polymorph = 0.168 eV/atom
Total DFT energy (no corrections) = -87.0 eV/cell



Entry 6:
DFT (PBE-GGA) results for Tb5Y4Pu after structural relaxation.

```
data_Tb5Y4Pu
_symmetry_space_group_name_H-M 'C 1 2/m 1'
_symmetry_Int_Tables_number 12
_symmetry_space_group_name_Hall '-C 2y'
_cell_length_a 16.828
_cell_length_b 3.509
_cell_length_c 11.370
_cell_angle_alpha 90.00
_cell_angle_beta 108.84
_cell_angle_gamma 90.00
loop_
_atom_site_label
_atom_site_fract_x
_atom_site_fract_y
_atom_site_fract_z
_atom_site_occupancy
Tb1 0.000 0.000 0.000 1
Tb2 0.188 0.500 0.578 1
Tb3 0.210 0.500 0.115 1
Y1 0.085 0.500 0.791 1
Y2 0.106 0.000 0.298 1
Pu1 0.000 0.000 0.500 1
```

Output
Density of states at the Fermi level = 1.801 states/eV/atom
Energy of formation = 0.07 eV per atom
ΔE to the lowest computed polymorph = 0.000 eV/atom
Total DFT energy (no corrections) = -125.4 eV/cell



Entry 7:
DFT (PBE-GGA) results for Tb6Y8Pu after structural relaxation.

```
data_Tb6Y8Pu
_symmetry_space_group_name_H-M 'R -3'
_symmetry_Int_Tables_number 148
_symmetry_space_group_name_Hall '-R 3'
_cell_length_a 9.0418
_cell_length_b 9.0418
_cell_length_c 20.4917
_cell_angle_alpha 90.00
_cell_angle_beta 90.00
_cell_angle_gamma 120.00
loop_
_atom_site_label
_atom_site_fract_x
_atom_site_fract_y
_atom_site_fract_z
_atom_site_occupancy
Tb1 0.0714 0.2527 0.2065 1
Y1 0.0000 0.0000 0.0767 1
Y2 0.0828 0.5586 0.3069 1
Pu1 0.0000 0.0000 0.5000 1
```

Output
Density of states at the Fermi level = 1.398 states/eV/atom
Energy of formation = 0.12 eV per atom
Total DFT energy (no corrections) = -276.2 eV/cell



Entry 8:
DFT (PBE-GGA) results for Tb5Y6Pu after structural relaxation.

```
data_Tb5Y6Pu
_symmetry_space_group_name_H-M 'C 1 2/m 1'
_symmetry_Int_Tables_number 12
_symmetry_space_group_name_Hall '-C 2y'
_cell_length_a 6.161
_cell_length_b 10.664
_cell_length_c 11.740
_cell_angle_alpha 90.00
_cell_angle_beta 100.04
_cell_angle_gamma 90.00
loop_
_atom_site_label
_atom_site_fract_x
_atom_site_fract_y
_atom_site_fract_z
_atom_site_occupancy
Tb1 0.000 0.000 0.000 1
Tb2 0.000 0.166 0.500 1
Tb3 0.000 0.333 0.000 1
Y1 0.247 0.335 0.748 1
Y2 0.247 0.500 0.252 1
Pu1 0.000 0.500 0.500 1
```

Output
Density of states at the Fermi level = 2.036 states/eV/atom
Energy of formation = 0.05 eV per atom
Total DFT energy (no corrections) = -151.4 eV/cell



Entry 9:
DFT (PBE-GGA) results for Tb5Y4Pu after structural relaxation.

```
data_Tb5Y4Pu
_symmetry_space_group_name_H-M 'I 4 m m'
_symmetry_Int_Tables_number 107
_symmetry_space_group_name_Hall 'I 4 -2'
_cell_length_a 10.883
_cell_length_b 10.883
_cell_length_c 5.451
_cell_angle_alpha 90.00
_cell_angle_beta 90.00
_cell_angle_gamma 90.00
loop_
_atom_site_label
_atom_site_fract_x
_atom_site_fract_y
_atom_site_fract_z
_atom_site_occupancy
Tb1 0.000 0.000 0.000 1
Tb2 0.184 0.184 0.501 1
Y1 0.000 0.325 0.002 1
Pu1 0.000 0.000 0.500 1
```

Output
Density of states at the Fermi level = 1.274 states/eV/atom
Energy of formation = 0.24 eV per atom
ΔE to the lowest computed polymorph = 0.172 eV/atom
Total DFT energy (no corrections) = -121.9 eV/cell



Entry 10:
DFT (PBE-GGA) results for Tb6YPu after structural relaxation.

```
data_Tb6YPu
_symmetry_space_group_name_H-M 'P -1'
_symmetry_Int_Tables_number 2
_symmetry_space_group_name_Hall '-P 1'
_cell_length_a 6.455
_cell_length_b 6.736
_cell_length_c 6.840
_cell_angle_alpha 118.64
_cell_angle_beta 93.67
_cell_angle_gamma 99.05
loop_
_atom_site_label
_atom_site_fract_x
_atom_site_fract_y
_atom_site_fract_z
_atom_site_occupancy
Tb1 0.226 0.466 0.404 1
Tb2 0.248 0.996 0.938 1
Tb3 0.256 0.511 0.922 1
Y1 0.500 0.000 0.500 1
Pu1 0.000 0.000 0.500 1
```

Output
Density of states at the Fermi level = 1.859 states/eV/atom
Energy of formation = 0.22 eV per atom
Total DFT energy (no corrections) = -46.8 eV/cell



Entry 11:
DFT (PBE-GGA) results for Tb8Y3Pu after structural relaxation.

```
data_Tb8Y3Pu
_symmetry_space_group_name_H-M 'I -4 2 m'
_symmetry_Int_Tables_number 121
_symmetry_space_group_name_Hall 'I -4 2'
_cell_length_a 8.645
_cell_length_b 8.645
_cell_length_c 11.378
_cell_angle_alpha 90.00
_cell_angle_beta 90.00
_cell_angle_gamma 90.00
loop_
_atom_site_label
_atom_site_fract_x
_atom_site_fract_y
_atom_site_fract_z
_atom_site_occupancy
Tb1 0.126 0.126 0.232 1
Tb2 0.231 0.231 0.968 1
Y1 0.000 0.000 0.500 1
Y2 0.000 0.500 0.250 1
Pu1 0.000 0.000 0.000 1
```

Output
Density of states at the Fermi level = 1.363 states/eV/atom
Energy of formation = 0.58 eV per atom
Total DFT energy (no corrections) = -127.6 eV/cell



Entry 12:
DFT (PBE-GGA) results for Tb8Y6Pu after structural relaxation.

```
data_Tb8Y6Pu
_symmetry_space_group_name_H-M 'R -3'
_symmetry_Int_Tables_number 148
_symmetry_space_group_name_Hall '-R 3'
_cell_length_a 9.0345
_cell_length_b 9.0345
_cell_length_c 20.4441
_cell_angle_alpha 90.00
_cell_angle_beta 90.00
_cell_angle_gamma 120.00
loop_
_atom_site_label
_atom_site_fract_x
_atom_site_fract_y
_atom_site_fract_z
_atom_site_occupancy
Tb1 0.0000 0.0000 0.0763 1
Tb2 0.0825 0.5592 0.3061 1
Y1 0.0644 0.2510 0.2062 1
Pu1 0.0000 0.0000 0.5000 1
```

Output
Density of states at the Fermi level = 1.495 states/eV/atom
Energy of formation = 0.11 eV per atom
Total DFT energy (no corrections) = -265.4 eV/cell



Entry 13:
DFT (PBE-GGA) results for Tb2YPu after structural relaxation.

```
data_Tb2YPu
_symmetry_space_group_name_H-M 'F m -3 m'
_symmetry_Int_Tables_number 225
_symmetry_space_group_name_Hall '-F 4 2 3'
_cell_length_a 7.925
_cell_length_b 7.925
_cell_length_c 7.925
_cell_angle_alpha 90.00
_cell_angle_beta 90.00
_cell_angle_gamma 90.00
loop_
_atom_site_label
_atom_site_fract_x
_atom_site_fract_y
_atom_site_fract_z
_atom_site_occupancy
Tb1 0.250 0.250 0.250 1
Y1 0.000 0.000 0.000 1
Pu1 0.000 0.000 0.500 1
```

Output
Density of states at the Fermi level = 2.694 states/eV/atom
Energy of formation = 0.20 eV per atom
ΔE to the lowest computed polymorph = 0.103 eV/atom
Total DFT energy (no corrections) = -117.0 eV/cell



Entry 14:
DFT (PBE-GGA) results for Tb2Y4Pu after structural relaxation.

```
data_Tb2Y4Pu
_symmetry_space_group_name_H-M 'I 4/m m m'
_symmetry_Int_Tables_number 139
_symmetry_space_group_name_Hall '-I 4 2'
_cell_length_a 8.538
_cell_length_b 8.538
_cell_length_c 12.009
_cell_angle_alpha 90.00
_cell_angle_beta 90.00
_cell_angle_gamma 90.00
loop_
_atom_site_label
_atom_site_fract_x
_atom_site_fract_y
_atom_site_fract_z
_atom_site_occupancy
Tb1 0.000 0.500 0.250 1
Y1 0.000 0.316 0.000 1
Pu1 0.000 0.000 0.000 1
```

Output
Density of states at the Fermi level = 1.524 states/eV/atom
Energy of formation = 1.79 eV per atom
Total DFT energy (no corrections) = -73.8 eV/cell



Entry 15:
DFT (PBE-GGA) results for TbYPu2 after structural relaxation.

```
data_TbYPu2
_symmetry_space_group_name_H-M 'P 4/m m m'
_symmetry_Int_Tables_number 123
_symmetry_space_group_name_Hall '-P 4 2'
_cell_length_a 4.833
_cell_length_b 4.833
_cell_length_c 5.054
_cell_angle_alpha 90.00
_cell_angle_beta 90.00
_cell_angle_gamma 90.00
loop_
_atom_site_label
_atom_site_fract_x
_atom_site_fract_y
_atom_site_fract_z
_atom_site_occupancy
Tb1 0.000 0.000 0.000 1
Y1 0.500 0.500 0.000 1
Pu1 0.000 0.500 0.500 1
```

Output
Density of states at the Fermi level = 3.737 states/eV/atom
Energy of formation = 0.19 eV per atom
ΔE to the lowest computed polymorph = 0.002 eV/atom
Total DFT energy (no corrections) = -39.0 eV/cell



Entry 16:
DFT (PBE-GGA) results for Tb2YPu after structural relaxation.

```
data_Tb2YPu
_symmetry_space_group_name_H-M 'R 3 m'
_symmetry_Int_Tables_number 160
_symmetry_space_group_name_Hall 'R 3 -2"'
_cell_length_a 3.5584
_cell_length_b 3.5584
_cell_length_c 34.1167
_cell_angle_alpha 90.00
_cell_angle_beta 90.00
_cell_angle_gamma 120.00
loop_
_atom_site_label
_atom_site_fract_x
_atom_site_fract_y
_atom_site_fract_z
_atom_site_occupancy
Tb1 0.0000 0.0000 0.0000 1
Tb2 0.0000 0.0000 0.1694 1
Y1 0.0000 0.0000 0.4185 1
Pu1 0.0000 0.0000 0.5843 1
```

Output
Density of states at the Fermi level = 2.779 states/eV/atom
Energy of formation = 0.10 eV per atom
ΔE to the lowest computed polymorph = 0.000 eV/atom
Total DFT energy (no corrections) = -89.0 eV/cell



Entry 17:
DFT (PBE-GGA) results for Tb12Y7Pu after structural relaxation.

```
data_Tb12Y7Pu
_symmetry_space_group_name_H-M 'I m -3 m'
_symmetry_Int_Tables_number 229
_symmetry_space_group_name_Hall '-I 4 2 3'
_cell_length_a 11.354
_cell_length_b 11.354
_cell_length_c 11.354
_cell_angle_alpha 90.00
_cell_angle_beta 90.00
_cell_angle_gamma 90.00
loop_
_atom_site_label
_atom_site_fract_x
_atom_site_fract_y
_atom_site_fract_z
_atom_site_occupancy
Tb1 0.000 0.226 0.226 1
Y1 0.000 0.000 0.500 1
Y2 0.250 0.250 0.250 1
Pu1 0.000 0.000 0.000 1
```

Output
Density of states at the Fermi level = 1.341 states/eV/atom
Energy of formation = 0.75 eV per atom
Total DFT energy (no corrections) = -200.3 eV/cell



Entry 18:
DFT (PBE-GGA) results for Tb6Y12Pu after structural relaxation.

```
data_Tb6Y12Pu
_symmetry_space_group_name_H-M 'R -3'
_symmetry_Int_Tables_number 148
_symmetry_space_group_name_Hall '-R 3'
_cell_length_a 15.5161
_cell_length_b 15.5161
_cell_length_c 8.7284
_cell_angle_alpha 90.00
_cell_angle_beta 90.00
_cell_angle_gamma 120.00
loop_
_atom_site_label
_atom_site_fract_x
_atom_site_fract_y
_atom_site_fract_z
_atom_site_occupancy
Tb1 0.0174 0.8782 0.1695 1
Y1 0.0351 0.7546 0.8376 1
Y2 0.0721 0.5105 0.1660 1
Pu1 0.0000 0.0000 0.5000 1
```

Output
Density of states at the Fermi level = 1.803 states/eV/atom
Energy of formation = 0.04 eV per atom
Total DFT energy (no corrections) = -357.0 eV/cell



Entry 19:
DFT (PBE-GGA) results for Tb2YPu after structural relaxation.

```
data_Tb2YPu
_symmetry_space_group_name_H-M 'P 4/m m m'
_symmetry_Int_Tables_number 123
_symmetry_space_group_name_Hall '-P 4 2'
_cell_length_a 3.510
_cell_length_b 3.510
_cell_length_c 10.036
_cell_angle_alpha 90.00
_cell_angle_beta 90.00
_cell_angle_gamma 90.00
loop_
_atom_site_label
_atom_site_fract_x
_atom_site_fract_y
_atom_site_fract_z
_atom_site_occupancy
Tb1 0.000 0.000 0.244 1
Y1 0.500 0.500 0.500 1
Pu1 0.500 0.500 0.000 1
```

Output
Density of states at the Fermi level = 2.500 states/eV/atom
Energy of formation = 0.10 eV per atom
ΔE to the lowest computed polymorph = 0.002 eV/atom
Total DFT energy (no corrections) = -29.7 eV/cell



Entry 20:
DFT (PBE-GGA) results for TbYPu2 after structural relaxation.

```
data_TbYPu2
_symmetry_space_group_name_H-M 'P 4/m m m'
_symmetry_Int_Tables_number 123
_symmetry_space_group_name_Hall '-P 4 2'
_cell_length_a 3.412
_cell_length_b 3.412
_cell_length_c 10.145
_cell_angle_alpha 90.00
_cell_angle_beta 90.00
_cell_angle_gamma 90.00
loop_
_atom_site_label
_atom_site_fract_x
_atom_site_fract_y
_atom_site_fract_z
_atom_site_occupancy
Tb1 0.000 0.000 0.000 1
Y1 0.000 0.000 0.500 1
Pu1 0.500 0.500 0.249 1
```

Output
Density of states at the Fermi level = 3.724 states/eV/atom
Energy of formation = 0.19 eV per atom
ΔE to the lowest computed polymorph = 0.000 eV/atom
Total DFT energy (no corrections) = -39.0 eV/cell